Record 1
{"formula": "CeTm3", "functional": "PBE-GGA", "state": "optimized geometry", "lattice_angstrom": [[4.932, 0.000, 0.000], [0.000, 4.932, 0.000], [0.000, 0.000, 4.932]], "species": ["Tm", "Tm", "Tm", "Ce"], "fractional_positions": [[0.000, 0.500, 0.500], [0.500, 0.000, 0.500], [0.500, 0.500, 0.000], [0.000, 0.000, 0.000]], "relative_energy_ev_per_atom": 0.006, "sg": "Pm-3m (221)", "final_energy_ev_per_atom": -4.7725}

Record 2
{"formula": "CeTm2", "functional": "PBE-GGA", "state": "optimized geometry", "lattice_angstrom": [[-3.564, -3.687, -4.123], [-3.567, -5.019, 2.321], [-6.568, 0.390, 0.078]], "species": ["Tm", "Tm", "Tm", "Tm", "Ce", "Ce"], "fractional_positions": [[0.125, 0.625, 0.625], [0.625, 0.125, 0.625], [0.625, 0.625, 0.625], [0.625, 0.625, 0.125], [0.000, 0.000, 0.000], [0.250, 0.250, 0.250]], "relative_energy_ev_per_atom": 0.305, "sg": "Fd-3m (227)", "final_energy_ev_per_atom": -4.5820}

Record 3
{"formula": "CeTmV4", "functional": "PBE-GGA", "state": "optimized geometry", "lattice_angstrom": [[-1.148, 1.190, 5.051], [3.712, -0.536, 3.766], [2.130, 4.311, 2.265]], "species": ["Tm", "Ce", "V", "V", "V", "V"], "fractional_positions": [[0.000, 0.000, 0.000], [0.250, 0.250, 0.250], [0.624, 0.624, 0.129], [0.624, 0.129, 0.624], [0.624, 0.624, 0.624], [0.129, 0.624, 0.624]], "sg": "F-43m (216)", "final_energy_ev_per_atom": -7.5577}

Record 4
{"formula": "CeY8Tm2", "functional": "PBE-GGA", "state": "optimized geometry", "lattice_angstrom": [[5.409, -2.741, -1.915], [-2.556, 11.385, 3.854], [-2.556, 7.537, 9.363]], "species": ["Ce", "Y", "Y", "Y", "Y", "Y", "Y", "Y", "Y", "Tm", "Tm"], "fractional_positions": [[0.000, 0.000, 0.000], [0.451, 0.914, 0.427], [0.451, 0.427, 0.914], [0.549, 0.086, 0.573], [0.231, 0.493, 0.493], [0.549, 0.573, 0.086], [0.143, 0.868, 0.868], [0.857, 0.132, 0.132], [0.769, 0.507, 0.507], [0.045, 0.317, 0.317], [0.955, 0.683, 0.683]], "relative_energy_ev_per_atom": 0.000, "sg": "C2/m (12)", "final_energy_ev_per_atom": -5.8622}

Record 5
{"formula": "Ce2YTm", "functional": "PBE-GGA", "state": "optimized geometry", "lattice_angstrom": [[3.345, 0.000, 0.000], [1.672, 2.897, 0.000], [1.672, 0.966, 12.320]], "species": ["Y", "Tm", "Ce", "Ce"], "fractional_positions": [[0.500, 0.500, 0.500], [0.000, 0.000, 0.000], [0.085, 0.085, 0.746], [0.915, 0.915, 0.254]], "relative_energy_ev_per_atom": 0.143, "sg": "R-3m (166)", "final_energy_ev_per_atom": -5.4645}

Record 6
{"formula": "Ce2Y7Tm2", "functional": "PBE-GGA", "state": "optimized geometry", "lattice_angstrom": [[5.615, 1.008, 1.455], [0.371, 7.912, 1.433], [0.371, -1.437, 7.911]], "species": ["Ce", "Ce", "Y", "Y", "Y", "Y", "Y", "Y", "Y", "Tm", "Tm"], "fractional_positions": [[0.819, 0.440, 0.440], [0.181, 0.560, 0.560], [0.181, 0.050, 0.588], [0.819, 0.412, 0.950], [0.819, 0.950, 0.412], [0.181, 0.588, 0.050], [0.000, 0.000, 0.000], [0.600, 0.778, 0.778], [0.400, 0.222, 0.222], [0.500, 0.219, 0.781], [0.500, 0.781, 0.219]], "sg": "C2/m (12)", "final_energy_ev_per_atom": -5.7955}

Record 7
{"formula": "CeY4Tm3", "functional": "PBE-GGA", "state": "optimized geometry", "lattice_angstrom": [[-3.186, -1.240, -0.139], [2.283, -6.049, 1.643], [-0.970, 6.076, 10.124]], "species": ["Y", "Y", "Y", "Y", "Tm", "Tm", "Tm", "Ce"], "fractional_positions": [[0.740, 0.238, 0.481], [0.260, 0.762, 0.519], [0.124, 0.370, 0.248], [0.876, 0.630, 0.752], [0.000, 0.500, 0.000], [0.124, 0.883, 0.248], [0.876, 0.117, 0.752], [0.500, 0.000, 0.000]], "relative_energy_ev_per_atom": 0.167, "sg": "C2/m (12)", "final_energy_ev_per_atom": -5.4525}

Record 8
{"formula": "CeY7Tm12", "functional": "PBE-GGA", "state": "optimized geometry", "lattice_angstrom": [[8.405, 1.023, 1.536], [-1.354, 8.358, 1.536], [-1.354, -1.802, 8.305]], "species": ["Ce", "Y", "Y", "Y", "Y", "Y", "Y", "Y", "Tm", "Tm", "Tm", "Tm", "Tm", "Tm", "Tm", "Tm", "Tm", "Tm", "Tm", "Tm"], "fractional_positions": [[0.000, 0.000, 0.000], [0.968, 0.673, 0.062], [0.327, 0.938, 0.032], [0.938, 0.032, 0.327], [0.500, 0.500, 0.500], [0.062, 0.968, 0.673], [0.673, 0.062, 0.968], [0.032, 0.327, 0.938], [0.773, 0.234, 0.626], [0.766, 0.374, 0.227], [0.459, 0.126, 0.352], [0.874, 0.648, 0.541], [0.374, 0.227, 0.766], [0.648, 0.541, 0.874], [0.352, 0.459, 0.126], [0.626, 0.773, 0.234], [0.126, 0.352, 0.459], [0.541, 0.874, 0.648], [0.234, 0.626, 0.773], [0.227, 0.766, 0.374]], "sg": "R-3 (148)", "final_energy_ev_per_atom": -4.9782}

Calculated values (states/eV/f.u.) of Fermi-level density of states for the records, taken in order: 6.72 9.64 7.01 21.94 11.04 23.51 16.82 41.14.
Calculated values (meV/atom) of calculated formation energy for the records, taken in order: 65 377 256 191 236 210 198 264.